# 1
A relaxed structure of Zr2SbIr. Source: the Alexandria database, functional PBE.

Output
Crystal system: tetragonal
ΔE_f (raw) in eV/atom: -0.348

abc: 7.6406 7.6406 6.1947
angles: 51.92 51.92 90.00
Sites, in units of the cell vectors:
Sb: 0.5000 0.5000 0.0000
Sb: 0.2500 0.7500 0.5000
Ir: 0.0000 0.0000 0.0000
Ir: 0.7500 0.2500 0.5000
Zr: 0.6607 0.1250 0.2500
Zr: 0.0893 0.6250 0.2500
Zr: 0.3750 0.3393 0.7500
Zr: 0.8750 0.9107 0.7500

=====

# 2
A relaxed structure of ZrSbIr. Source: the Alexandria database, functional PBE.

Output
Crystal system: orthorhombic
ΔE_f (raw) in eV/atom: -0.361

abc: 5.9835 5.9835 5.9835
angles: 149.02 145.99 46.66
Sites, in units of the cell vectors:
Ir: 0.0142 0.0142 0.0000
Sb: 0.3434 0.3434 0.0000
Zr: 0.6424 0.6424 0.0000

=====

# 3
A relaxed structure of Zr2SbIr. Source: the Alexandria database, functional PBE.

Output
Crystal system: monoclinic
ΔE_f (raw) in eV/atom: -0.526

abc: 4.1715 3.1759 6.7493
angles: 62.40 90.00 90.00
Sites, in units of the cell vectors:
Ir: 0.5000 0.2500 0.2500
Sb: 0.5000 0.7500 0.7500
Zr: 0.0000 0.9852 0.0158
Zr: 0.0000 0.5148 0.4842